No. 1
Compound: ScFeCuB
Source: the Open Quantum Materials Database
Functional: GGA-PBE
Structure: relaxed

Unit cell a=5.8218 b=5.8218 c=5.8218 alpha=90.00 beta=90.00 gamma=90.00
With the nearest neighbours (Å) after each atom.
Space group F-43m (No. 216)
Unique sites:
1 Sc 0.0000 0.0000 0.0000 [4 per cell]  4 Cu 2.52, 4 B 2.52
2 Fe 0.0000 0.0000 0.5000 [4 per cell]  4 B 2.52, 4 Cu 2.52
3 Cu 0.2500 0.2500 0.2500 [4 per cell]  4 Fe 2.52, 4 Sc 2.52
4 B 0.2500 0.2500 0.7500 [4 per cell]  4 Fe 2.52, 4 Sc 2.52


No. 2
Compound: TaFeCuB
Source: the Open Quantum Materials Database
Functional: GGA-PBE
Structure: relaxed

Unit cell a=5.7323 b=5.7323 c=5.7323 alpha=90.00 beta=90.00 gamma=90.00
With the nearest neighbours (Å) after each atom.
Space group F-43m (No. 216)
Unique sites:
1 Ta 0.0000 0.0000 0.0000 [4 per cell]  4 Fe 2.48, 4 Cu 2.48
2 Fe 0.2500 0.2500 0.2500 [4 per cell]  4 Ta 2.48, 4 B 2.48
3 Cu 0.2500 0.2500 0.7500 [4 per cell]  4 Ta 2.48, 4 B 2.48
4 B 0.0000 0.0000 0.5000 [4 per cell]  4 Fe 2.48, 4 Cu 2.48


No. 3
Compound: TaFeCuB
Source: the Open Quantum Materials Database
Functional: GGA-PBE
Structure: relaxed

Unit cell a=5.6835 b=5.6835 c=5.6835 alpha=90.00 beta=90.00 gamma=90.00
With the nearest neighbours (Å) after each atom.
Space group F-43m (No. 216)
Unique sites:
1 Ta 0.0000 0.0000 0.0000 [4 per cell]  4 Cu 2.46, 4 B 2.46
2 Fe 0.0000 0.0000 0.5000 [4 per cell]  4 B 2.46, 4 Cu 2.46
3 Cu 0.2500 0.2500 0.7500 [4 per cell]  4 Ta 2.46, 4 Fe 2.46
4 B 0.2500 0.2500 0.2500 [4 per cell]  4 Ta 2.46, 4 Fe 2.46


The offset from the most stable computed form results, record by record, are as follows: 0.000 0.162 0.000 eV/atom.